Version A
DFT (PBE) results for an optimized crystal structure of BeFe2CoH.

Geometry as POSCAR:
```
BeFe2CoH
1.0
3.580 0.000 0.000
0.000 3.580 0.000
0.000 0.000 3.491
Be Co Fe H
1 1 2 1
Direct
0.500 0.500 0.500
0.000 0.000 0.500
0.000 0.500 0.000
0.500 0.000 0.000
0.000 0.000 0.000
```

Output
The density of states at the Fermi level comes out at 2.1 states/eV/cell. As for the calculated volume: 44.7 Å³ per cell.

***

Version B
DFT (PBE) results for an optimized crystal structure of BeFe2CoH.

Geometry as POSCAR:
```
BeFe2CoH
1.0
-0.407 2.055 -2.869
-3.195 1.011 1.177
1.481 2.686 1.713
Be Co Fe H
1 1 2 1
Direct
0.000 0.000 0.500
0.500 0.500 0.500
0.000 0.500 0.000
0.500 0.000 0.000
0.000 0.000 0.000
```

Output
The density of states at the Fermi level comes out at 3.2 states/eV/cell. As for the calculated volume: 44.3 Å³ per cell.

***

Most stable of them? version A.

***

Version A
DFT (PBE) results for an optimized crystal structure of Be3GaCo.

Geometry as POSCAR:
```
Be3GaCo
1.0
-4.000 0.230 -0.759
0.714 -0.656 -3.961
-0.346 -4.019 0.604
Be Co Ga
3 1 1
Direct
0.000 0.500 0.000
0.000 0.000 0.500
0.500 0.000 0.000
0.500 0.500 0.500
0.000 0.000 0.000
```

Output
The density of states at the Fermi level comes out at 6.7 states/eV/cell. As for the calculated volume: 67.8 Å³ per cell.

***

Version B
DFT (PBE) results for an optimized crystal structure of Be3GaCo.

Geometry as POSCAR:
```
Be3GaCo
1.0
3.975 0.000 0.000
0.000 3.975 0.000
0.000 0.000 3.975
Be Co Ga
3 1 1
Direct
0.000 0.500 0.000
0.000 0.000 0.500
0.500 0.000 0.000
0.000 0.000 0.000
0.500 0.500 0.500
```

Output
The density of states at the Fermi level comes out at 1.8 states/eV/cell. As for the calculated volume: 62.8 Å³ per cell.

***

Most stable of them? version B.

***

Version A
DFT (PBE) results for an optimized crystal structure of BeGa3Co.

Geometry as POSCAR:
```
BeGa3Co
1.0
4.523 0.000 0.000
0.000 4.523 0.000
0.000 0.000 4.523
Be Co Ga
1 1 3
Direct
0.500 0.500 0.500
0.000 0.000 0.000
0.000 0.500 0.000
0.000 0.000 0.500
0.500 0.000 0.000
```

Output
The density of states at the Fermi level comes out at 2.1 states/eV/cell. As for the calculated volume: 92.6 Å³ per cell.

***

Version B
DFT (PBE) results for an optimized crystal structure of BeGa3Co.

Geometry as POSCAR:
```
BeGa3Co
1.0
-3.908 0.144 1.921
1.523 -2.429 3.281
1.179 3.614 2.128
Be Co Ga
1 1 3
Direct
0.000 0.000 0.000
0.500 0.500 0.500
0.000 0.500 0.000
0.000 0.000 0.500
0.500 0.000 0.000
```

Output
The density of states at the Fermi level comes out at 7.0 states/eV/cell. As for the calculated volume: 82.7 Å³ per cell.

***

Most stable of them? version A.

***

Version A
DFT (PBE) results for an optimized crystal structure of BeGaCo2.

Geometry as POSCAR:
```
BeGaCo2
1.0
-2.188 -0.448 1.598
0.376 -2.709 -0.245
3.233 0.048 4.440
Be Co Ga
1 2 1
Direct
0.500 0.500 0.000
0.000 0.000 0.774
0.000 0.000 0.226
0.500 0.500 0.500
```

Output
The density of states at the Fermi level comes out at 4.5 states/eV/cell. As for the calculated volume: 41.4 Å³ per cell.

***

Version B
DFT (PBE) results for an optimized crystal structure of BeGaCo2.

Geometry as POSCAR:
```
BeGaCo2
1.0
2.797 0.000 0.000
0.000 3.872 0.000
0.000 0.000 3.872
Be Co Ga
1 2 1
Direct
0.500 0.500 0.500
0.000 0.000 0.500
0.000 0.500 0.000
0.500 0.000 0.000
```

Output
The density of states at the Fermi level comes out at 2.5 states/eV/cell. As for the calculated volume: 41.9 Å³ per cell.

***

Most stable of them? version A.

***

Version A
DFT (PBE) results for an optimized crystal structure of BeGaCo2.

Geometry as POSCAR:
```
BeGaCo2
1.0
0.000 2.754 2.754
2.754 0.000 2.754
2.754 2.754 0.000
Be Co Ga
1 2 1
Direct
0.000 0.000 0.000
0.250 0.250 0.250
0.750 0.750 0.750
0.500 0.500 0.500
```

Output
The density of states at the Fermi level comes out at 2.0 states/eV/cell. As for the calculated volume: 41.8 Å³ per cell.

***

Version B
DFT (PBE) results for an optimized crystal structure of BeGaCo2.

Geometry as POSCAR:
```
BeGaCo2
1.0
-2.231 2.602 -0.666
-2.393 -1.533 2.029
0.503 4.582 7.059
Be Co Ga
2 4 2
Direct
0.500 0.500 0.000
0.250 0.750 0.500
0.578 0.125 0.250
0.172 0.625 0.250
0.375 0.422 0.750
0.875 0.828 0.750
0.000 0.000 0.000
0.750 0.250 0.500
```

Output
The density of states at the Fermi level comes out at 8.4 states/eV/cell. As for the calculated volume: 98.3 Å³ per cell.

***

Most stable of them? version A.

***

Version A
DFT (PBE) results for an optimized crystal structure of BeCoGe3.

Geometry as POSCAR:
```
BeCoGe3
1.0
4.518 0.000 0.000
0.000 4.518 0.000
0.000 0.000 4.518
Be Ge Co
1 3 1
Direct
0.500 0.500 0.500
0.000 0.500 0.000
0.000 0.000 0.500
0.500 0.000 0.000
0.000 0.000 0.000
```

Output
The density of states at the Fermi level comes out at 3.6 states/eV/cell. As for the calculated volume: 92.2 Å³ per cell.

***

Version B
DFT (PBE) results for an optimized crystal structure of BeCoGe3.

Geometry as POSCAR:
```
BeCoGe3
1.0
4.409 0.000 0.000
0.000 4.409 0.000
0.000 0.000 4.409
Be Ge Co
1 3 1
Direct
0.000 0.000 0.000
0.000 0.500 0.000
0.000 0.000 0.500
0.500 0.000 0.000
0.500 0.500 0.500
```

Output
The density of states at the Fermi level comes out at 6.0 states/eV/cell. As for the calculated volume: 85.7 Å³ per cell.

***

Most stable of them? version A.

***

Version A
DFT (PBE) results for an optimized crystal structure of Be2Co2Ge.

Geometry as POSCAR:
```
Be2Co2Ge
1.0
-1.511 2.359 2.478
-3.301 -0.294 -1.733
-3.341 -1.974 2.664
Be Ge Co
2 1 2
Direct
0.365 0.365 0.270
0.635 0.635 0.730
0.000 0.000 0.000
0.750 0.250 0.500
0.250 0.750 0.500
```

Output
The density of states at the Fermi level comes out at 0.4 states/eV/cell. As for the calculated volume: 54.5 Å³ per cell.

***

Version B
DFT (PBE) results for an optimized crystal structure of Be2Co2Ge.

Geometry as POSCAR:
```
Be2Co2Ge
1.0
-2.680 4.989 -2.358
-5.516 -2.493 0.995
-0.068 1.162 2.535
Be Ge Co
4 2 4
Direct
0.133 0.633 0.500
0.633 0.867 0.500
0.867 0.367 0.500
0.367 0.133 0.500
0.000 0.000 0.000
0.500 0.500 0.000
0.342 0.842 0.000
0.842 0.658 0.000
0.658 0.158 0.000
0.158 0.342 0.000
```

Output
The density of states at the Fermi level comes out at 6.5 states/eV/cell. As for the calculated volume: 105.0 Å³ per cell.

***

Version C
DFT (PBE) results for an optimized crystal structure of Be2Co2Ge.

Geometry as POSCAR:
```
Be2Co2Ge
1.0
6.074 0.000 0.000
0.000 6.074 0.000
0.000 0.000 2.659
Be Ge Co
4 2 4
Direct
0.380 0.880 0.000
0.880 0.620 0.000
0.620 0.120 0.000
0.120 0.380 0.000
0.000 0.000 0.000
0.500 0.500 0.000
0.173 0.673 0.500
0.673 0.827 0.500
0.827 0.327 0.500
0.327 0.173 0.500
```

Output
The density of states at the Fermi level comes out at 7.0 states/eV/cell. As for the calculated volume: 98.1 Å³ per cell.

***

Most stable of them? version C.

***

Version A
DFT (PBE) results for an optimized crystal structure of BeCo2Ge.

Geometry as POSCAR:
```
BeCo2Ge
1.0
0.945 -3.762 0.211
-2.744 -2.655 0.717
-1.118 -2.444 -2.805
Be Ge Co
1 1 2
Direct
0.000 0.000 0.000
0.500 0.500 0.500
0.250 0.250 0.250
0.750 0.750 0.750
```

Output
The density of states at the Fermi level comes out at 1.9 states/eV/cell. As for the calculated volume: 41.5 Å³ per cell.

***

Version B
DFT (PBE) results for an optimized crystal structure of BeCo2Ge.

Geometry as POSCAR:
```
BeCo2Ge
1.0
-1.317 2.023 -1.563
1.239 -1.665 -3.199
-3.155 -2.138 -0.110
Be Ge Co
1 1 2
Direct
0.500 0.500 0.500
0.500 0.000 0.000
0.000 0.000 0.500
0.000 0.500 0.000
```

Output
The density of states at the Fermi level comes out at 2.0 states/eV/cell. As for the calculated volume: 41.8 Å³ per cell.

***

Most stable of them? version A.

***

Version A
DFT (PBE) results for an optimized crystal structure of SrBeCoGe2.

Geometry as POSCAR:
```
SrBeCoGe2
1.0
-2.347 -4.633 -2.016
-1.322 -1.238 4.383
-4.808 2.731 -0.678
Sr Ge Co Be
1 2 1 1
Direct
0.000 0.000 0.000
0.000 0.000 0.500
0.500 0.000 0.000
0.000 0.500 0.000
0.500 0.500 0.500
```

Output
The density of states at the Fermi level comes out at 6.6 states/eV/cell. As for the calculated volume: 147.2 Å³ per cell.

***

Version B
DFT (PBE) results for an optimized crystal structure of SrBeCoGe2.

Geometry as POSCAR:
```
SrBeCoGe2
1.0
5.487 0.000 0.000
0.000 5.095 0.000
0.000 0.000 5.487
Sr Ge Co Be
1 2 1 1
Direct
0.000 0.000 0.000
0.000 0.000 0.500
0.500 0.000 0.000
0.500 0.500 0.500
0.000 0.500 0.000
```

Output
The density of states at the Fermi level comes out at 11.5 states/eV/cell. As for the calculated volume: 153.4 Å³ per cell.

***

Most stable of them? version A.

***

Version A
DFT (PBE) results for an optimized crystal structure of HfBeCo2H.

Geometry as POSCAR:
```
HfBeCo2H
1.0
3.853 0.000 0.000
0.000 3.853 0.000
0.000 0.000 3.463
Co Hf H Be
2 1 1 1
Direct
0.000 0.500 0.000
0.500 0.000 0.000
0.500 0.500 0.500
0.000 0.000 0.000
0.000 0.000 0.500
```

Output
The density of states at the Fermi level comes out at 2.0 states/eV/cell. As for the calculated volume: 51.4 Å³ per cell.

***

Version B
DFT (PBE) results for an optimized crystal structure of HfBeCo2H.

Geometry as POSCAR:
```
HfBeCo2H
1.0
3.200 0.000 0.000
-1.600 4.799 0.000
0.000 0.000 6.732
Hf Be Co H
2 2 4 2
Direct
0.446 0.892 0.750
0.554 0.108 0.250
0.731 0.461 0.750
0.269 0.539 0.250
0.160 0.319 0.944
0.840 0.681 0.056
0.160 0.319 0.556
0.840 0.681 0.444
0.000 0.000 0.000
0.000 0.000 0.500
```

Output
The density of states at the Fermi level comes out at 9.2 states/eV/cell. As for the calculated volume: 103.4 Å³ per cell.

***

Most stable of them? version B.

***

Version A
DFT (PBE) results for an optimized crystal structure of MnBeCo2H.

Geometry as POSCAR:
```
MnBeCo2H
1.0
-2.330 -2.558 -0.783
2.655 -2.340 -0.254
-0.334 -0.754 3.455
Be Mn Co H
1 1 2 1
Direct
0.500 0.500 0.500
0.000 0.000 0.500
0.000 0.500 0.000
0.500 0.000 0.000
0.000 0.000 0.000
```

Output
The density of states at the Fermi level comes out at 5.9 states/eV/cell. As for the calculated volume: 44.7 Å³ per cell.

***

Version B
DFT (PBE) results for an optimized crystal structure of MnBeCo2H.

Geometry as POSCAR:
```
MnBeCo2H
1.0
3.647 0.000 0.000
0.000 3.647 0.000
0.000 0.000 3.255
Be Mn Co H
1 1 2 1
Direct
0.000 0.000 0.500
0.500 0.500 0.500
0.000 0.500 0.000
0.500 0.000 0.000
0.000 0.000 0.000
```

Output
The density of states at the Fermi level comes out at 3.2 states/eV/cell. As for the calculated volume: 43.3 Å³ per cell.

***

Most stable of them? version A.

***

Version A
DFT (PBE) results for an optimized crystal structure of BeNb2CoH.

Geometry as POSCAR:
```
BeNb2CoH
1.0
4.042 0.000 0.000
0.000 4.042 0.000
0.000 0.000 3.552
Be Nb Co H
1 2 1 1
Direct
0.000 0.000 0.500
0.000 0.500 0.000
0.500 0.000 0.000
0.500 0.500 0.500
0.000 0.000 0.000
```

Output
The density of states at the Fermi level comes out at 3.0 states/eV/cell. As for the calculated volume: 58.0 Å³ per cell.

***

Version B
DFT (PBE) results for an optimized crystal structure of BeNb2CoH.

Geometry as POSCAR:
```
BeNb2CoH
1.0
4.048 0.000 0.000
0.000 4.048 0.000
0.000 0.000 3.593
Be Nb Co H
1 2 1 1
Direct
0.500 0.500 0.500
0.000 0.500 0.000
0.500 0.000 0.000
0.000 0.000 0.500
0.000 0.000 0.000
```

Output
The density of states at the Fermi level comes out at 3.8 states/eV/cell. As for the calculated volume: 58.9 Å³ per cell.

***

Most stable of them? version B.